Material: K2NiF
Method: DFT, GGA+U
State: relaxed

## Properties
SG = I-42d, No. 122
Energy above the lowest structure with this stoichiometry = 0.000 eV/atom
Total DFT energy (no corrections) = -2.127 eV per atom
Density of states at the Fermi level = 0.155 states/eV/atom
Calculated volume = 31.9 Å³/atom

a = 7.640 Å, b = 7.640 Å, c = 6.953 Å
α = 56.68°, β = 56.68°, γ = 90.00°
Site moments in Bohr magnetons follow the coordinates.
Positions (direct):
K1 0.538 0.125 0.250  0.00
K2 0.212 0.625 0.250  0.00
K3 0.875 0.788 0.750  0.00
K4 0.375 0.462 0.750  0.00
F1 0.500 0.500 0.000  0.00
F2 0.250 0.750 0.500  0.00
Ni1 0.750 0.250 0.500  1.09
Ni2 0.000 0.000 0.000  1.09